First-principles (GGA-PBE) data for a relaxed LiGa4Ir2 crystal, as listed in Alexandria.

abc: 6.8226 5.2397 6.8408
angles: 90.00 112.47 90.00
Fractional positions:
Li (0.2116, 0.7500, 0.2792)
Li (0.7884, 0.2500, 0.7208)
Ga (0.5535, 0.4976, 0.2221)
Ga (0.0274, 0.7500, 0.8481)
Ga (0.9726, 0.2500, 0.1519)
Ga (0.5535, 0.0024, 0.2221)
Ga (0.0736, 0.2500, 0.5616)
Ga (0.4465, 0.9976, 0.7779)
Ga (0.4465, 0.5024, 0.7779)
Ga (0.9264, 0.7500, 0.4384)
Ir (0.7684, 0.7500, 0.0409)
Ir (0.2316, 0.2500, 0.9591)
Ir (0.3891, 0.2500, 0.4438)
Ir (0.6109, 0.7500, 0.5562)

Properties
E_tot   -4.796 eV/atom
ΔE_f   -0.261 eV/atom

---

First-principles (GGA-PBE) data for a relaxed Li4Ga3Ir crystal, as listed in Alexandria.

abc: 3.8530 3.9174 8.2853
angles: 76.28 103.47 90.08
Fractional positions:
Li (0.3835, 0.6165, 0.7676)
Li (0.6165, 0.3835, 0.2324)
Li (0.7441, 0.7560, 0.4878)
Li (0.2559, 0.2440, 0.5122)
Ga (0.0000, 0.5000, 0.0000)
Ga (0.1209, 0.8783, 0.2432)
Ga (0.8791, 0.1217, 0.7568)
Ir (0.5000, 0.0000, 0.0000)

Properties
E_tot   -3.511 eV/atom
ΔE_f   -0.311 eV/atom

---

First-principles (GGA-PBE) data for a relaxed Li2Ga3Ir2 crystal, as listed in Alexandria.

abc: 3.8997 4.6788 5.9514
angles: 96.52 90.00 114.63
Fractional positions:
Li (0.9168, 0.8337, 0.2816)
Li (0.0832, 0.1663, 0.7184)
Ga (0.5000, 0.0000, 0.0000)
Ga (0.6444, 0.2888, 0.4307)
Ga (0.3556, 0.7112, 0.5693)
Ir (0.8008, 0.6016, 0.8379)
Ir (0.1992, 0.3984, 0.1621)

Properties
E_tot   -4.758 eV/atom
ΔE_f   -0.383 eV/atom

---

First-principles (GGA-PBE) data for a relaxed LiGaIr2 crystal, as listed in Alexandria.

abc: 4.8232 2.8040 8.4061
angles: 90.00 101.09 90.00
Fractional positions:
Li (0.0000, 0.5000, 0.0000)
Li (0.0000, 0.0000, 0.5000)
Ga (0.5000, 0.5000, 0.5000)
Ga (0.5000, 0.0000, 0.0000)
Ir (0.7587, 0.0000, 0.7431)
Ir (0.2413, 0.0000, 0.2569)
Ir (0.7587, 0.5000, 0.2431)
Ir (0.2413, 0.5000, 0.7569)

Properties
E_tot   -5.955 eV/atom
ΔE_f   -0.290 eV/atom

---

Which magnetization belongs to each record? In order, 0.000; 0.000; 0.000; 0.000 μB/f.u..